1.
Material: NbInFe2
Method: DFT, GGA-PBE
State: relaxed

## Properties
- E_tot (eV per atom) = -7.06
- space-group type = F-43m (216)

```
16
Lattice="6.1697 0.0000 0.0000 0.0000 6.1697 0.0000 0.0000 0.0000 6.1697" Properties=species:S:1:pos:R:3 pbc="T T T"
Nb 0.0000 0.0000 0.0000
Nb 0.0000 3.0848 3.0848
Nb 3.0848 0.0000 3.0848
Nb 3.0848 3.0848 0.0000
In 1.5424 1.5424 1.5424
In 1.5424 4.6272 4.6272
In 4.6272 1.5424 4.6272
In 4.6272 4.6272 1.5424
Fe 0.0000 0.0000 3.0848
Fe 0.0000 3.0848 0.0000
Fe 1.5424 1.5424 4.6272
Fe 1.5424 4.6272 1.5424
Fe 3.0848 0.0000 0.0000
Fe 3.0848 3.0848 3.0848
Fe 4.6272 1.5424 1.5424
Fe 4.6272 4.6272 4.6272
```

2.
Material: Nb2InFe
Method: DFT, GGA-PBE
State: relaxed

## Properties
- E_tot (eV per atom) = -7.54
- space-group type = F-43m (216)

```
16
Lattice="6.4700 0.0000 0.0000 0.0000 6.4700 0.0000 0.0000 0.0000 6.4700" Properties=species:S:1:pos:R:3 pbc="T T T"
Nb 0.0000 0.0000 0.0000
Nb 0.0000 3.2350 3.2350
Nb 1.6175 1.6175 1.6175
Nb 1.6175 4.8525 4.8525
Nb 3.2350 0.0000 3.2350
Nb 3.2350 3.2350 0.0000
Nb 4.8525 1.6175 4.8525
Nb 4.8525 4.8525 1.6175
In 0.0000 0.0000 3.2350
In 0.0000 3.2350 0.0000
In 3.2350 0.0000 0.0000
In 3.2350 3.2350 3.2350
Fe 1.6175 1.6175 4.8525
Fe 1.6175 4.8525 1.6175
Fe 4.8525 1.6175 1.6175
Fe 4.8525 4.8525 4.8525
```

3.
Material: NbInFe
Method: DFT, GGA-PBE
State: relaxed

## Properties
- E_tot (eV per atom) = -6.19
- space-group type = F-43m (216)

```
12
Lattice="6.2076 0.0000 0.0000 0.0000 6.2076 0.0000 0.0000 0.0000 6.2076" Properties=species:S:1:pos:R:3 pbc="T T T"
Nb 0.0000 0.0000 0.0000
Nb 0.0000 3.1038 3.1038
Nb 3.1038 0.0000 3.1038
Nb 3.1038 3.1038 0.0000
In 1.5519 1.5519 4.6557
In 1.5519 4.6557 1.5519
In 4.6557 1.5519 1.5519
In 4.6557 4.6557 4.6557
Fe 1.5519 1.5519 1.5519
Fe 1.5519 4.6557 4.6557
Fe 4.6557 1.5519 4.6557
Fe 4.6557 4.6557 1.5519
```

4.
Material: NbInFe
Method: DFT, GGA-PBE
State: relaxed

## Properties
- E_tot (eV per atom) = -6.16
- space-group type = F-43m (216)

```
12
Lattice="6.2670 0.0000 0.0000 0.0000 6.2670 0.0000 0.0000 0.0000 6.2670" Properties=species:S:1:pos:R:3 pbc="T T T"
Nb 0.0000 0.0000 0.0000
Nb 0.0000 3.1335 3.1335
Nb 3.1335 0.0000 3.1335
Nb 3.1335 3.1335 0.0000
In 1.5667 1.5667 4.7002
In 1.5667 4.7002 1.5667
In 4.7002 1.5667 1.5667
In 4.7002 4.7002 4.7002
Fe 0.0000 0.0000 3.1335
Fe 0.0000 3.1335 0.0000
Fe 3.1335 0.0000 0.0000
Fe 3.1335 3.1335 3.1335
```

5.
Material: NbInFePd
Method: DFT, GGA-PBE
State: relaxed

## Properties
- ΔE to the lowest computed polymorph (kcal/mol of atoms) = 5.303
- space-group type = F-43m (216)

```
16
Lattice="6.4542 0.0000 0.0000 0.0000 6.4542 0.0000 0.0000 0.0000 6.4542" Properties=species:S:1:pos:R:3 pbc="T T T"
Nb 0.0000 0.0000 0.0000
Nb 0.0000 3.2271 3.2271
Nb 3.2271 0.0000 3.2271
Nb 3.2271 3.2271 0.0000
In 1.6135 1.6135 1.6135
In 1.6135 4.8406 4.8406
In 4.8406 1.6135 4.8406
In 4.8406 4.8406 1.6135
Fe 0.0000 0.0000 3.2271
Fe 0.0000 3.2271 0.0000
Fe 3.2271 0.0000 0.0000
Fe 3.2271 3.2271 3.2271
Pd 1.6135 1.6135 4.8406
Pd 1.6135 4.8406 1.6135
Pd 4.8406 1.6135 1.6135
Pd 4.8406 4.8406 4.8406
```

6.
Material: NbInFePd
Method: DFT, GGA-PBE
State: relaxed

## Properties
- ΔE to the lowest computed polymorph (kcal/mol of atoms) = 0.000
- space-group type = F-43m (216)

```
16
Lattice="6.3919 0.0000 0.0000 0.0000 6.3919 0.0000 0.0000 0.0000 6.3919" Properties=species:S:1:pos:R:3 pbc="T T T"
Nb 0.0000 0.0000 0.0000
Nb 0.0000 3.1959 3.1959
Nb 3.1959 0.0000 3.1959
Nb 3.1959 3.1959 0.0000
In 0.0000 0.0000 3.1959
In 0.0000 3.1959 0.0000
In 3.1959 0.0000 0.0000
In 3.1959 3.1959 3.1959
Fe 1.5980 1.5980 4.7939
Fe 1.5980 4.7939 1.5980
Fe 4.7939 1.5980 1.5980
Fe 4.7939 4.7939 4.7939
Pd 1.5980 1.5980 1.5980
Pd 1.5980 4.7939 4.7939
Pd 4.7939 1.5980 4.7939
Pd 4.7939 4.7939 1.5980
```

7.
Material: NbInFePt
Method: DFT, GGA-PBE
State: relaxed

## Properties
- ΔE to the lowest computed polymorph (kcal/mol of atoms) = 0.000
- space-group type = F-43m (216)

```
16
Lattice="6.4166 0.0000 0.0000 0.0000 6.4166 0.0000 0.0000 0.0000 6.4166" Properties=species:S:1:pos:R:3 pbc="T T T"
Nb 0.0000 0.0000 0.0000
Nb 0.0000 3.2083 3.2083
Nb 3.2083 0.0000 3.2083
Nb 3.2083 3.2083 0.0000
In 0.0000 0.0000 3.2083
In 0.0000 3.2083 0.0000
In 3.2083 0.0000 0.0000
In 3.2083 3.2083 3.2083
Fe 1.6042 1.6042 4.8125
Fe 1.6042 4.8125 1.6042
Fe 4.8125 1.6042 1.6042
Fe 4.8125 4.8125 4.8125
Pt 1.6042 1.6042 1.6042
Pt 1.6042 4.8125 4.8125
Pt 4.8125 1.6042 4.8125
Pt 4.8125 4.8125 1.6042
```

8.
Material: NbInFePt
Method: DFT, GGA-PBE
State: relaxed

## Properties
- ΔE to the lowest computed polymorph (kcal/mol of atoms) = 4.783
- space-group type = F-43m (216)

```
16
Lattice="6.4453 0.0000 0.0000 0.0000 6.4453 0.0000 0.0000 0.0000 6.4453" Properties=species:S:1:pos:R:3 pbc="T T T"
Nb 0.0000 0.0000 0.0000
Nb 0.0000 3.2227 3.2227
Nb 3.2227 0.0000 3.2227
Nb 3.2227 3.2227 0.0000
In 1.6113 1.6113 1.6113
In 1.6113 4.8340 4.8340
In 4.8340 1.6113 4.8340
In 4.8340 4.8340 1.6113
Fe 0.0000 0.0000 3.2227
Fe 0.0000 3.2227 0.0000
Fe 3.2227 0.0000 0.0000
Fe 3.2227 3.2227 3.2227
Pt 1.6113 1.6113 4.8340
Pt 1.6113 4.8340 1.6113
Pt 4.8340 1.6113 1.6113
Pt 4.8340 4.8340 4.8340
```

9.
Material: ScNbInFe
Method: DFT, GGA-PBE
State: relaxed

## Properties
- ΔE to the lowest computed polymorph (kcal/mol of atoms) = 0.000
- space-group type = F-43m (216)

```
16
Lattice="6.4854 0.0000 0.0000 0.0000 6.4854 0.0000 0.0000 0.0000 6.4854" Properties=species:S:1:pos:R:3 pbc="T T T"
Sc 0.0000 0.0000 0.0000
Sc 0.0000 3.2427 3.2427
Sc 3.2427 0.0000 3.2427
Sc 3.2427 3.2427 0.0000
Nb 1.6213 1.6213 4.8640
Nb 1.6213 4.8640 1.6213
Nb 4.8640 1.6213 1.6213
Nb 4.8640 4.8640 4.8640
In 1.6213 1.6213 1.6213
In 1.6213 4.8640 4.8640
In 4.8640 1.6213 4.8640
In 4.8640 4.8640 1.6213
Fe 0.0000 0.0000 3.2427
Fe 0.0000 3.2427 0.0000
Fe 3.2427 0.0000 0.0000
Fe 3.2427 3.2427 3.2427
```

10.
Material: TaNbInFe
Method: DFT, GGA-PBE
State: relaxed

## Properties
- ΔE to the lowest computed polymorph (kcal/mol of atoms) = 0.000
- space-group type = F-43m (216)

```
16
Lattice="6.4649 0.0000 0.0000 0.0000 6.4649 0.0000 0.0000 0.0000 6.4649" Properties=species:S:1:pos:R:3 pbc="T T T"
Ta 0.0000 0.0000 0.0000
Ta 0.0000 3.2324 3.2324
Ta 3.2324 0.0000 3.2324
Ta 3.2324 3.2324 0.0000
Nb 1.6162 1.6162 1.6162
Nb 1.6162 4.8487 4.8487
Nb 4.8487 1.6162 4.8487
Nb 4.8487 4.8487 1.6162
In 0.0000 0.0000 3.2324
In 0.0000 3.2324 0.0000
In 3.2324 0.0000 0.0000
In 3.2324 3.2324 3.2324
Fe 1.6162 1.6162 4.8487
Fe 1.6162 4.8487 1.6162
Fe 4.8487 1.6162 1.6162
Fe 4.8487 4.8487 4.8487
```

11.
Material: NbInFeW
Method: DFT, GGA-PBE
State: relaxed

## Properties
- ΔE to the lowest computed polymorph (kcal/mol of atoms) = 0.000
- space-group type = F-43m (216)

```
16
Lattice="6.4341 0.0000 0.0000 0.0000 6.4341 0.0000 0.0000 0.0000 6.4341" Properties=species:S:1:pos:R:3 pbc="T T T"
Nb 0.0000 0.0000 0.0000
Nb 0.0000 3.2170 3.2170
Nb 3.2170 0.0000 3.2170
Nb 3.2170 3.2170 0.0000
In 0.0000 0.0000 3.2170
In 0.0000 3.2170 0.0000
In 3.2170 0.0000 0.0000
In 3.2170 3.2170 3.2170
Fe 1.6085 1.6085 4.8256
Fe 1.6085 4.8256 1.6085
Fe 4.8256 1.6085 1.6085
Fe 4.8256 4.8256 4.8256
W 1.6085 1.6085 1.6085
W 1.6085 4.8256 4.8256
W 4.8256 1.6085 4.8256
W 4.8256 4.8256 1.6085
```

12.
Material: YNbInFe
Method: DFT, GGA-PBE
State: relaxed

## Properties
- ΔE to the lowest computed polymorph (kcal/mol of atoms) = 0.000
- space-group type = F-43m (216)

```
16
Lattice="6.7028 0.0000 0.0000 0.0000 6.7028 0.0000 0.0000 0.0000 6.7028" Properties=species:S:1:pos:R:3 pbc="T T T"
Y 0.0000 0.0000 0.0000
Y 0.0000 3.3514 3.3514
Y 3.3514 0.0000 3.3514
Y 3.3514 3.3514 0.0000
Nb 1.6757 1.6757 5.0271
Nb 1.6757 5.0271 1.6757
Nb 5.0271 1.6757 1.6757
Nb 5.0271 5.0271 5.0271
In 1.6757 1.6757 1.6757
In 1.6757 5.0271 5.0271
In 5.0271 1.6757 5.0271
In 5.0271 5.0271 1.6757
Fe 0.0000 0.0000 3.3514
Fe 0.0000 3.3514 0.0000
Fe 3.3514 0.0000 0.0000
Fe 3.3514 3.3514 3.3514
```

13.
Material: NbZnInFe
Method: DFT, GGA-PBE
State: relaxed

## Properties
- ΔE to the lowest computed polymorph (kcal/mol of atoms) = 5.055
- space-group type = F-43m (216)

```
16
Lattice="6.4128 0.0000 0.0000 0.0000 6.4128 0.0000 0.0000 0.0000 6.4128" Properties=species:S:1:pos:R:3 pbc="T T T"
Nb 0.0000 0.0000 0.0000
Nb 0.0000 3.2064 3.2064
Nb 3.2064 0.0000 3.2064
Nb 3.2064 3.2064 0.0000
Zn 1.6032 1.6032 4.8096
Zn 1.6032 4.8096 1.6032
Zn 4.8096 1.6032 1.6032
Zn 4.8096 4.8096 4.8096
In 1.6032 1.6032 1.6032
In 1.6032 4.8096 4.8096
In 4.8096 1.6032 4.8096
In 4.8096 4.8096 1.6032
Fe 0.0000 0.0000 3.2064
Fe 0.0000 3.2064 0.0000
Fe 3.2064 0.0000 0.0000
Fe 3.2064 3.2064 3.2064
```

14.
Material: NbZnInFe
Method: DFT, GGA-PBE
State: relaxed

## Properties
- ΔE to the lowest computed polymorph (kcal/mol of atoms) = 0.000
- space-group type = F-43m (216)

```
16
Lattice="6.2732 0.0000 0.0000 0.0000 6.2732 0.0000 0.0000 0.0000 6.2732" Properties=species:S:1:pos:R:3 pbc="T T T"
Nb 0.0000 0.0000 0.0000
Nb 0.0000 3.1366 3.1366
Nb 3.1366 0.0000 3.1366
Nb 3.1366 3.1366 0.0000
Zn 1.5683 1.5683 1.5683
Zn 1.5683 4.7049 4.7049
Zn 4.7049 1.5683 4.7049
Zn 4.7049 4.7049 1.5683
In 0.0000 0.0000 3.1366
In 0.0000 3.1366 0.0000
In 3.1366 0.0000 0.0000
In 3.1366 3.1366 3.1366
Fe 1.5683 1.5683 4.7049
Fe 1.5683 4.7049 1.5683
Fe 4.7049 1.5683 1.5683
Fe 4.7049 4.7049 4.7049
```

15.
Material: ZrNbInFe
Method: DFT, GGA-PBE
State: relaxed

## Properties
- ΔE to the lowest computed polymorph (kcal/mol of atoms) = 0.000
- space-group type = F-43m (216)

```
16
Lattice="6.6088 0.0000 0.0000 0.0000 6.6088 0.0000 0.0000 0.0000 6.6088" Properties=species:S:1:pos:R:3 pbc="T T T"
Zr 0.0000 0.0000 0.0000
Zr 0.0000 3.3044 3.3044
Zr 3.3044 0.0000 3.3044
Zr 3.3044 3.3044 0.0000
Nb 1.6522 1.6522 1.6522
Nb 1.6522 4.9566 4.9566
Nb 4.9566 1.6522 4.9566
Nb 4.9566 4.9566 1.6522
In 0.0000 0.0000 3.3044
In 0.0000 3.3044 0.0000
In 3.3044 0.0000 0.0000
In 3.3044 3.3044 3.3044
Fe 1.6522 1.6522 4.9566
Fe 1.6522 4.9566 1.6522
Fe 4.9566 1.6522 1.6522
Fe 4.9566 4.9566 4.9566
```